1.
# Rb3Th3ScSe8

Crystalline Rb3Th3ScSe8 at its relaxed geometry (PBE, Alexandria via LeMat-Bulk).

Cell: 8.3917 8.3917 24.8620 Å, 90.00 90.00 120.00°
Space group R-3m (No. 166, hexagonal axes)
Asymmetric unit:
Rb 0.0000 0.5000 0.0000 [9 per cell]
Th 0.0000 0.5000 0.5000 [9 per cell]
Sc 0.0000 0.0000 0.5000 [3 per cell]
Se 0.0000 0.0000 0.2368 [6 per cell]
Se 0.0158 0.5079 0.2306 [18 per cell]

Summary:
- Raw total energy: -5.550 eV/atom
- Raw formation energy: -23.879 eV/f.u.

---

2.
# Rb2ThScSe4

Crystalline Rb2ThScSe4 at its relaxed geometry (PBE, Alexandria via LeMat-Bulk).

Cell: 7.2080 4.1912 8.4086 Å, 90.00 106.60 90.00°
Space group P2/m (No. 10)
Asymmetric unit:
Rb 0.0000 0.0000 0.0000 [1 per cell]
Rb 0.5000 0.5000 0.0000 [1 per cell]
Th 0.0000 0.5000 0.5000 [1 per cell]
Sc 0.5000 0.0000 0.5000 [1 per cell]
Se 0.2482 0.0000 0.7017 [2 per cell]
Se 0.2817 0.5000 0.3084 [2 per cell]

Summary:
- Raw total energy: -5.251 eV/atom
- Raw formation energy: -12.383 eV/f.u.